## LaPr2Y3 (PBE)

Data for crystalline LaPr2Y3 at its relaxed geometry.

Calculated values
**Raw total energy**: -64.9 eV per cell
**Density of states at the Fermi level**: 19.81 states/eV per cell
**Crystal system**: orthorhombic
**Formation energy**: 0.242 eV per atom

a b c (Å): 6.742 17.957 3.443
angles (deg): 90.00 90.00 90.00
Space group Pnnm (No. 58)
Asymmetric unit:
1 La 0.000 0.000 0.000 x2
2 Pr 0.227 0.349 0.500 x4
3 Y 0.000 0.500 0.000 x2
4 Y 0.233 0.179 0.000 x4